The following is a DFT calculation (PBE) of crystalline HoTiSn at its relaxed geometry.

a b c (Å): 4.9311 4.9311 3.4034
angles (deg): 90.00 90.00 120.00
With the nearest neighbours (Å) after each atom.
Fractional positions:
Ho: 0.0000 0.0000 0.0000  6 Ti 3.31-3.32, 6 Sn 3.32, 2 Ho 3.40
Ti: 0.6667 0.3333 0.4987  3 Sn 2.85
Sn: 0.3333 0.6667 0.5009  3 Ti 2.85

Output
**Calculated volume**: 71.67 Å³/cell
**Space-group type**: P3m1
**Energy relative to the lowest polymorph listed for this composition**: 324.6 meV per atom
**DOS at the Fermi energy**: 1.582 states/eV/atom
**Total magnetic moment**: 1.9 μB/cell
**ΔE_f**: -0.18 eV/atom

=====

The following is a DFT calculation (PBE) of crystalline HoTiSn at its relaxed geometry.

a b c (Å): 3.6430 3.6430 10.4655
angles (deg): 90.00 90.00 90.00
With the nearest neighbours (Å) after each atom.
Fractional positions:
Ho: 0.0000 0.0000 0.0000  5 Ti 3.17-3.38, 5 Sn 3.24-3.26
Ho: 0.5000 0.5000 0.5000  5 Ti 3.17-3.38, 5 Sn 3.24-3.26
Ti: 0.0000 0.0000 0.6767  4 Sn 2.94, 4 Ho 3.17
Ti: 0.5000 0.5000 0.1767  4 Sn 2.94, 4 Ho 3.17
Sn: 0.0000 0.0000 0.3115  4 Ti 2.94, 5 Ho 3.24-3.26
Sn: 0.5000 0.5000 0.8115  4 Ti 2.94, 5 Ho 3.24-3.26

Output
**Calculated volume**: 138.89 Å³/cell
**Space-group type**: I4mm
**Energy relative to the lowest polymorph listed for this composition**: 273.5 meV per atom
**DOS at the Fermi energy**: 1.748 states/eV/atom
**Total magnetic moment**: 1.3 μB/cell
**ΔE_f**: -0.24 eV/atom

=====

The following is a DFT calculation (PBE) of crystalline HoTiSn3 at its relaxed geometry.

a b c (Å): 13.2696 5.9655 6.1544
angles (deg): 90.00 90.00 90.00
With the nearest neighbours (Å) after each atom.
Fractional positions:
Ho: 0.1874 0.0066 0.2500  9 Sn 3.08-3.31
Ho: 0.1874 0.4934 0.7500  9 Sn 3.08-3.31
Ho: 0.8126 0.5066 0.2500  9 Sn 3.08-3.31
Ho: 0.8126 0.9934 0.7500  9 Sn 3.08-3.31
Ti: 0.3951 0.7500 0.0000  6 Sn 2.88-3.05, 2 Ti 3.08
Ti: 0.3951 0.7500 0.5000  6 Sn 2.88-3.05, 2 Ti 3.08
Ti: 0.6049 0.2500 0.0000  6 Sn 2.88-3.05, 2 Ti 3.08
Ti: 0.6049 0.2500 0.5000  6 Sn 2.88-3.05, 2 Ti 3.08
Sn: 0.0039 0.7500 0.0000  4 Sn 2.98-3.08, 4 Ho 3.26-3.30
Sn: 0.0039 0.7500 0.5000  4 Sn 2.98-3.08, 4 Ho 3.26-3.30
Sn: 0.2486 0.5052 0.2500  2 Ti 2.88, 1 Sn 3.00, 4 Ho 3.08-3.18
Sn: 0.2486 0.9948 0.7500  2 Ti 2.88, 1 Sn 3.00, 4 Ho 3.08-3.18
Sn: 0.4234 0.1871 0.2500  4 Ti 2.88-3.05, 3 Sn 3.00-3.17
Sn: 0.4234 0.3129 0.7500  4 Ti 2.88-3.05, 3 Sn 3.00-3.17
Sn: 0.5766 0.6871 0.2500  4 Ti 2.88-3.05, 3 Sn 3.00-3.17
Sn: 0.5766 0.8129 0.7500  4 Ti 2.88-3.05, 3 Sn 3.00-3.17
Sn: 0.7514 0.0052 0.2500  2 Ti 2.88, 1 Sn 3.00, 4 Ho 3.08-3.18
Sn: 0.7514 0.4948 0.7500  2 Ti 2.88, 1 Sn 3.00, 4 Ho 3.08-3.18
Sn: 0.9961 0.2500 0.0000  4 Sn 2.98-3.08, 4 Ho 3.26-3.30
Sn: 0.9961 0.2500 0.5000  4 Sn 2.98-3.08, 4 Ho 3.26-3.30

Output
**Calculated volume**: 487.18 Å³/cell
**Space-group type**: Pbcm
**DOS at the Fermi energy**: 1.068 states/eV/atom
**Total magnetic moment**: 0.0 μB/cell
**ΔE_f**: -0.36 eV/atom

=====

The following is a DFT calculation (PBE) of crystalline Ho5Tl2Sn at its relaxed geometry.

a b c (Å): 8.8266 8.8266 8.8266
angles (deg): 124.01 124.01 83.19
With the nearest neighbours (Å) after each atom.
Fractional positions:
Ho: 0.0000 0.0000 0.0000  4 Tl 3.18, 2 Sn 3.30
Ho: 0.0020 0.5020 0.8088  3 Tl 3.10-3.19, 2 Sn 3.39, 1 Ho 3.41
Ho: 0.1932 0.0020 0.5000  3 Tl 3.10-3.19, 2 Sn 3.39, 1 Ho 3.41
Ho: 0.3068 0.8068 0.8088  3 Tl 3.10-3.19, 2 Sn 3.39, 1 Ho 3.41
Ho: 0.4980 0.3068 0.5000  3 Tl 3.10-3.19, 2 Sn 3.39, 1 Ho 3.41
Ho: 0.5000 0.5000 0.0000  4 Tl 3.18, 2 Sn 3.30
Ho: 0.5020 0.6932 0.5000  3 Tl 3.10-3.19, 2 Sn 3.39, 1 Ho 3.41
Ho: 0.6932 0.1932 0.1912  3 Tl 3.10-3.19, 2 Sn 3.39, 1 Ho 3.41
Ho: 0.8068 0.9980 0.5000  3 Tl 3.10-3.19, 2 Sn 3.39, 1 Ho 3.41
Ho: 0.9980 0.4980 0.1912  3 Tl 3.10-3.19, 2 Sn 3.39, 1 Ho 3.41
Tl: 0.1439 0.3561 0.5000  8 Ho 3.10-3.19, 1 Tl 3.37
Tl: 0.3561 0.8561 0.2122  8 Ho 3.10-3.19, 1 Tl 3.37
Tl: 0.6439 0.1439 0.7878  8 Ho 3.10-3.19, 1 Tl 3.37
Tl: 0.8561 0.6439 0.5000  8 Ho 3.10-3.19, 1 Tl 3.37
Sn: 0.2500 0.2500 0.0000  10 Ho 3.30-3.39
Sn: 0.7500 0.7500 0.0000  10 Ho 3.30-3.39

Output
**Calculated volume**: 453.28 Å³/cell
**Space-group type**: I4/mcm
**Energy relative to the lowest polymorph listed for this composition**: 0.0 meV per atom
**DOS at the Fermi energy**: 0.878 states/eV/atom
**Total magnetic moment**: 0.0 μB/cell
**ΔE_f**: -0.40 eV/atom